1.
! YNb3Fe PBE-GGA relaxed; values from VASP
&SYSTEM
  ibrav = 0, nat = 5, ntyp = 3
/
ATOMIC_SPECIES
Nb 92.91 Nb.upf
Fe 55.84 Fe.upf
Y 88.91 Y.upf
CELL_PARAMETERS angstrom
-2.575 -3.900 0.640
0.989 0.104 4.611
-3.826 2.651 0.761
ATOMIC_POSITIONS crystal
Nb 0.000 0.500 0.000
Fe 0.000 0.000 0.000
Nb 0.500 0.000 0.000
Nb 0.000 0.000 0.500
Y 0.500 0.500 0.500
! Volume (Å³ per atom): 20.986
! Total DFT energy (no corrections) (eV/atom): -8.56
! Formation enthalpy at 0 K (meV per atom): 466
! Total magnetization (μB/cell): 0.00

=====

2.
! CdIn2Si2 PBE-GGA relaxed; values from VASP
&SYSTEM
  ibrav = 0, nat = 5, ntyp = 3
/
ATOMIC_SPECIES
In 114.82 In.upf
Si 28.09 Si.upf
Cd 112.41 Cd.upf
CELL_PARAMETERS angstrom
-1.972 -4.255 1.284
1.086 -1.823 -4.375
4.043 -4.588 0.214
ATOMIC_POSITIONS crystal
In 0.750 0.250 0.500
Si 0.385 0.385 0.230
In 0.250 0.750 0.500
Si 0.615 0.615 0.770
Cd 0.000 0.000 0.000
! Volume (Å³ per atom): 23.937
! Total DFT energy (no corrections) (eV/atom): -3.15
! Energy above the lowest structure with this stoichiometry (kJ per mole of atoms): 0.00
! Total magnetization (μB/cell): 0.00

=====

3.
! Sr2GeP3Pd4 PBE-GGA relaxed; values from VASP
&SYSTEM
  ibrav = 0, nat = 10, ntyp = 4
/
ATOMIC_SPECIES
Pd 106.42 Pd.upf
Sr 87.62 Sr.upf
P 30.97 P.upf
Ge 72.64 Ge.upf
CELL_PARAMETERS angstrom
-3.436 2.429 -0.939
0.924 -0.316 -4.199
-5.704 -8.314 -0.631
ATOMIC_POSITIONS crystal
Pd 0.000 0.500 0.368
Sr 0.500 0.000 0.247
Pd 0.500 0.500 0.000
P 0.500 0.000 0.872
Pd 0.500 0.000 0.632
P 0.000 0.000 0.500
Sr 0.000 0.500 0.753
Ge 0.500 0.500 0.500
P 0.000 0.500 0.128
Pd 0.000 0.000 0.000
! Volume (Å³ per atom): 18.775
! Total DFT energy (no corrections) (eV/atom): -5.26
! Formation enthalpy at 0 K (meV per atom): -758
! Total magnetization (μB/cell): 0.00

=====

Question: Which value of total DFT energy (no corrections) does entry 2 give?
Answer: -3.15 eV/atom

=====

Question: Which value of total DFT energy (no corrections) does entry 1 give?
Answer: -8.56 eV/atom